Computed, not measured: LiSe2Br after structural relaxation at the PBE level of DFT.

Summary:
Relative energy among the computed polymorphs   678 meV/atom
E_form (uncorrected)   0.04 eV per atom

Cell lengths 7.0792, 7.0792, 7.0792 Å; angles 90.00, 90.00, 90.00 degrees
Last column: nearest neighbours and their distance in Å.
Fractional coordinates of all 16 atoms:
Li (0.0000, 0.0000, 0.0000)  4 Se 3.07, 4 Br 3.07
Li (0.0000, 0.5000, 0.5000)  4 Se 3.07, 4 Br 3.07
Li (0.5000, 0.0000, 0.5000)  4 Se 3.07, 4 Br 3.07
Li (0.5000, 0.5000, 0.0000)  4 Se 3.07, 4 Br 3.07
Se (0.0000, 0.0000, 0.5000)  4 Se 3.07, 4 Br 3.07
Se (0.0000, 0.5000, 0.0000)  4 Se 3.07, 4 Br 3.07
Se (0.2500, 0.2500, 0.7500)  4 Se 3.07, 4 Li 3.07
Se (0.2500, 0.7500, 0.2500)  4 Se 3.07, 4 Li 3.07
Se (0.5000, 0.0000, 0.0000)  4 Se 3.07, 4 Br 3.07
Se (0.5000, 0.5000, 0.5000)  4 Br 3.07, 4 Se 3.07
Se (0.7500, 0.2500, 0.2500)  4 Se 3.07, 4 Li 3.07
Se (0.7500, 0.7500, 0.7500)  4 Se 3.07, 4 Li 3.07
Br (0.2500, 0.2500, 0.2500)  4 Se 3.07, 4 Li 3.07
Br (0.2500, 0.7500, 0.7500)  4 Se 3.07, 4 Li 3.07
Br (0.7500, 0.2500, 0.7500)  4 Se 3.07, 4 Li 3.07
Br (0.7500, 0.7500, 0.2500)  4 Se 3.07, 4 Li 3.07

=====

Computed, not measured: LiSeBr2 after structural relaxation at the PBE level of DFT.

Summary:
Relative energy among the computed polymorphs   226 meV/atom
E_form (uncorrected)   -0.35 eV per atom

Cell lengths 3.3600, 7.1269, 5.0336 Å; angles 90.00, 90.00, 90.00 degrees
Last column: nearest neighbours and their distance in Å.
Fractional coordinates of all 4 atoms:
Li (0.0000, 0.0000, 0.0000)  2 Br 2.52
Se (0.5000, 0.5000, 0.9875)  2 Br 2.52
Br (0.0000, 0.0000, 0.4999)  2 Li 2.52
Br (0.5000, 0.5000, 0.4877)  2 Se 2.52

=====

Computed, not measured: LiSe3Br after structural relaxation at the PBE level of DFT.

Summary:
Relative energy among the computed polymorphs   56 meV/atom
E_form (uncorrected)   0.46 eV per atom

Cell lengths 5.2539, 5.2539, 5.2539 Å; angles 90.00, 90.00, 90.00 degrees
Last column: nearest neighbours and their distance in Å.
Fractional coordinates of all 5 atoms:
Li (0.0000, 0.0000, 0.0000)  12 Se 3.72
Se (0.0000, 0.5000, 0.5000)  2 Br 2.63
Se (0.5000, 0.0000, 0.5000)  2 Br 2.63
Se (0.5000, 0.5000, 0.0000)  2 Br 2.63
Br (0.5000, 0.5000, 0.5000)  6 Se 2.63

=====

Computed, not measured: LiSe2Br after structural relaxation at the PBE level of DFT.

Summary:
Relative energy among the computed polymorphs   456 meV/atom
E_form (uncorrected)   -0.18 eV per atom

Cell lengths 4.1287, 4.1287, 21.7403 Å; angles 90.00, 90.00, 120.00 degrees
Last column: nearest neighbours and their distance in Å.
Fractional coordinates of all 12 atoms:
Li (0.0000, 0.0000, 0.0000)  6 Se 2.61
Li (0.3333, 0.6667, 0.6667)  6 Se 2.61
Li (0.6667, 0.3333, 0.3333)  6 Se 2.61
Se (0.0000, 0.0000, 0.3826)  1 Br 2.55, 3 Li 2.61
Se (0.0000, 0.0000, 0.6174)  1 Br 2.55, 3 Li 2.61
Se (0.3333, 0.6667, 0.0492)  1 Br 2.55, 3 Li 2.61
Se (0.3333, 0.6667, 0.2841)  1 Br 2.55, 3 Li 2.61
Se (0.6667, 0.3333, 0.7159)  1 Br 2.55, 3 Li 2.61
Se (0.6667, 0.3333, 0.9508)  1 Br 2.55, 3 Li 2.61
Br (0.0000, 0.0000, 0.5000)  2 Se 2.55
Br (0.3333, 0.6667, 0.1667)  2 Se 2.55
Br (0.6667, 0.3333, 0.8333)  2 Se 2.55

=====

Computed, not measured: LiSeBr2 after structural relaxation at the PBE level of DFT.

Summary:
Relative energy among the computed polymorphs   474 meV/atom
E_form (uncorrected)   -0.10 eV per atom

Cell lengths 7.4845, 7.4845, 7.4845 Å; angles 90.00, 90.00, 90.00 degrees
Last column: nearest neighbours and their distance in Å.
Fractional coordinates of all 16 atoms:
Li (0.0000, 0.0000, 0.0000)  8 Br 3.24
Li (0.0000, 0.5000, 0.5000)  8 Br 3.24
Li (0.5000, 0.0000, 0.5000)  8 Br 3.24
Li (0.5000, 0.5000, 0.0000)  8 Br 3.24
Se (0.0000, 0.0000, 0.5000)  8 Br 3.24
Se (0.0000, 0.5000, 0.0000)  8 Br 3.24
Se (0.5000, 0.0000, 0.0000)  8 Br 3.24
Se (0.5000, 0.5000, 0.5000)  8 Br 3.24
Br (0.2500, 0.2500, 0.2500)  4 Li 3.24, 4 Se 3.24
Br (0.2500, 0.2500, 0.7500)  4 Se 3.24, 4 Li 3.24
Br (0.2500, 0.7500, 0.2500)  4 Se 3.24, 4 Li 3.24
Br (0.2500, 0.7500, 0.7500)  4 Li 3.24, 4 Se 3.24
Br (0.7500, 0.2500, 0.2500)  4 Se 3.24, 4 Li 3.24
Br (0.7500, 0.2500, 0.7500)  4 Li 3.24, 4 Se 3.24
Br (0.7500, 0.7500, 0.2500)  4 Li 3.24, 4 Se 3.24
Br (0.7500, 0.7500, 0.7500)  4 Se 3.24, 4 Li 3.24

=====

Computed, not measured: Li2SeBr after structural relaxation at the PBE level of DFT.

Summary:
Relative energy among the computed polymorphs   31 meV/atom
E_form (uncorrected)   -1.02 eV per atom

Cell lengths 3.3656, 3.4047, 14.1893 Å; angles 90.00, 90.00, 90.00 degrees
Last column: nearest neighbours and their distance in Å.
Fractional coordinates of all 8 atoms:
Li (0.0000, 0.0000, 0.0000)  4 Br 2.69, 2 Se 2.83
Li (0.0000, 0.5000, 0.2348)  2 Br 2.69, 4 Se 2.82
Li (0.5000, 0.0000, 0.7348)  2 Br 2.69, 4 Se 2.82
Li (0.5000, 0.5000, 0.5000)  4 Br 2.69, 2 Se 2.83
Se (0.0000, 0.5000, 0.8405)  6 Li 2.82-2.83
Se (0.5000, 0.0000, 0.3405)  6 Li 2.82-2.83
Br (0.0000, 0.0000, 0.5873)  6 Li 2.69
Br (0.5000, 0.5000, 0.0873)  6 Li 2.69

=====

> Which value of E_form (uncorrected) does entry 3 give?

0.46 eV per atom

=====

> Which value of E_form (uncorrected) does entry 4 give?

-0.18 eV per atom

=====

> Which value of relative energy among the computed polymorphs does entry 2 give?

226 meV/atom

=====

Please write out number 2 again, unchanged.
Computed, not measured: LiSeBr2 after structural relaxation at the PBE level of DFT.

Summary:
Relative energy among the computed polymorphs   226 meV/atom
E_form (uncorrected)   -0.35 eV per atom

Cell lengths 3.3600, 7.1269, 5.0336 Å; angles 90.00, 90.00, 90.00 degrees
Last column: nearest neighbours and their distance in Å.
Fractional coordinates of all 4 atoms:
Li (0.0000, 0.0000, 0.0000)  2 Br 2.52
Se (0.5000, 0.5000, 0.9875)  2 Br 2.52
Br (0.0000, 0.0000, 0.4999)  2 Li 2.52
Br (0.5000, 0.5000, 0.4877)  2 Se 2.52